La2Tb7Tm: optimized geometry, PBE.

CIF file:
```
data_La2Tb7Tm
_chemical_formula_sum 'La2 Tb7 Tm1'
_symmetry_space_group_name_H-M 'P -1'
_symmetry_Int_Tables_number 2
_symmetry_space_group_name_Hall '-P 1'
_cell_length_a 5.688
_cell_length_b 7.082
_cell_length_c 8.780
_cell_angle_alpha 78.32
_cell_angle_beta 71.15
_cell_angle_gamma 89.98
loop_
_atom_site_label
_atom_site_type_symbol
_atom_site_fract_x
_atom_site_fract_y
_atom_site_fract_z
La1 La 0.211 0.352 0.078
Tb1 Tb 0.000 0.000 0.500
Tb2 Tb 0.209 0.856 0.081
Tb3 Tb 0.400 0.702 0.700
Tb4 Tb 0.405 0.201 0.691
Tm1 Tm 0.000 0.500 0.500
```

## Properties
energy	-46.199	eV for the cell shown
energy relative to the elements	0.0540	eV per atom
excess energy over the best structure of this formula in the dataset	0.0	meV per atom